1.
# PaMoRh2

A geometry-optimized PaMoRh2 structure (PBE, Alexandria via LeMat-Bulk).

Values from the calculation:
ΔH_f (0 K)   -0.438 eV/atom
Crystal system   tetragonal
E   -9.195 eV/atom

Cell: 4.0579 4.1180 4.1180 Å, 90.00 90.00 90.00°
Closest atoms and distances in Å follow each position.
Positions (direct):
Rh: 0.0000 0.0000 0.5000  4 Mo 2.89, 4 Pa 2.89, 4 Rh 2.91
Rh: 0.0000 0.5000 0.0000  4 Mo 2.89, 4 Pa 2.89, 4 Rh 2.91
Mo: 0.5000 0.5000 0.5000  8 Rh 2.89, 4 Pa 2.91
Pa: 0.5000 0.0000 0.0000  8 Rh 2.89, 4 Mo 2.91



2.
# PaMoRh

A geometry-optimized PaMoRh structure (PBE, Alexandria via LeMat-Bulk).

Values from the calculation:
ΔH_f (0 K)   -0.050 eV/atom
Crystal system   trigonal
Excess energy over the best structure of this formula in the dataset   0.000 eV/f.u.
E   -9.276 eV/atom

Cell: 2.9784 4.5747 4.5747 Å, 120.00 90.00 90.00°
Closest atoms and distances in Å follow each position.
Positions (direct):
Pa: 0.6426 0.3333 0.6667  3 Mo 2.72, 3 Rh 2.78, 2 Pa 2.98
Rh: 0.9332 0.0000 0.0000  3 Pa 2.78, 2 Rh 2.98, 6 Mo 3.02-3.05
Mo: 0.4241 0.6667 0.3333  3 Pa 2.72, 2 Mo 2.98, 6 Rh 3.02-3.05



3.
# Pa2MoRh

A geometry-optimized Pa2MoRh structure (PBE, Alexandria via LeMat-Bulk).

Values from the calculation:
ΔH_f (0 K)   -0.185 eV/atom
Crystal system   cubic
Excess energy over the best structure of this formula in the dataset   0.172 eV/f.u.
E   -9.479 eV/atom

Cell: 4.8904 4.8904 4.8904 Å, 60.00 60.00 60.00°
Closest atoms and distances in Å follow each position.
Positions (direct):
Pa: 0.7500 0.7500 0.7500  4 Mo 2.99, 4 Rh 2.99
Pa: 0.2500 0.2500 0.2500  4 Mo 2.99, 4 Rh 2.99
Rh: 0.0000 0.0000 0.0000  8 Pa 2.99
Mo: 0.5000 0.5000 0.5000  8 Pa 2.99



4.
# Pa2MoRh

A geometry-optimized Pa2MoRh structure (PBE, Alexandria via LeMat-Bulk).

Values from the calculation:
ΔH_f (0 K)   -0.228 eV/atom
Crystal system   tetragonal
Excess energy over the best structure of this formula in the dataset   0.000 eV/f.u.
E   -9.522 eV/atom

Cell: 3.5123 3.5123 6.7016 Å, 90.00 90.00 90.00°
Closest atoms and distances in Å follow each position.
Positions (direct):
Rh: 0.5000 0.5000 0.5000  8 Pa 2.98
Pa: 0.0000 0.0000 0.7451  4 Rh 2.98, 4 Mo 3.01, 1 Pa 3.29
Pa: 0.0000 0.0000 0.2549  4 Rh 2.98, 4 Mo 3.01, 1 Pa 3.29
Mo: 0.5000 0.5000 0.0000  8 Pa 3.01, 2 Rh 3.35



5.
# PaSi2MoRh

A geometry-optimized PaSi2MoRh structure (PBE, Alexandria via LeMat-Bulk).

Values from the calculation:
Formation energy from raw total energies   -0.649 eV/atom
Crystal system   tetragonal
E   -8.354 eV/atom

Cell: 4.2138 4.2138 5.7014 Å, 111.69 111.69 90.00°
Closest atoms and distances in Å follow each position.
Positions (direct):
Pa: 0.0000 0.0000 0.0000  8 Si 3.21, 4 Mo 3.22, 4 Rh 3.22
Mo: 0.7500 0.2500 0.5000  4 Si 2.44
Si: 0.6230 0.6230 0.2460  1 Si 2.39, 2 Mo 2.44, 2 Rh 2.44
Si: 0.3770 0.3770 0.7540  1 Si 2.39, 2 Mo 2.44, 2 Rh 2.44
Rh: 0.2500 0.7500 0.5000  4 Si 2.44



6.
# PaTiMoRh

A geometry-optimized PaTiMoRh structure (PBE, Alexandria via LeMat-Bulk).

Values from the calculation:
ΔH_f (0 K)   -0.339 eV/atom
Crystal system   cubic
E   -9.232 eV/atom

Cell: 4.6714 4.6714 4.6714 Å, 60.00 60.00 60.00°
Closest atoms and distances in Å follow each position.
Positions (direct):
Ti: 0.2500 0.2500 0.2500  4 Mo 2.86, 4 Rh 2.86
Mo: 0.5000 0.5000 0.5000  4 Ti 2.86, 4 Pa 2.86
Pa: 0.7500 0.7500 0.7500  4 Rh 2.86, 4 Mo 2.86
Rh: 0.0000 0.0000 0.0000  4 Pa 2.86, 4 Ti 2.86



7.
# PaMoRu2

A geometry-optimized PaMoRu2 structure (PBE, Alexandria via LeMat-Bulk).

Values from the calculation:
ΔH_f (0 K)   -0.138 eV/atom
Crystal system   tetragonal
Excess energy over the best structure of this formula in the dataset   0.000 eV/f.u.
E   -9.857 eV/atom

Cell: 3.0392 3.0392 7.4352 Å, 90.00 90.00 90.00°
Closest atoms and distances in Å follow each position.
Positions (direct):
Mo: 0.5000 0.5000 0.0000  8 Ru 2.67
Pa: 0.5000 0.5000 0.5000  8 Ru 3.03, 4 Pa 3.04
Ru: 0.0000 0.0000 0.2132  4 Mo 2.67
Ru: 0.0000 0.0000 0.7868  4 Mo 2.67



8.
# PaMoRu2

A geometry-optimized PaMoRu2 structure (PBE, Alexandria via LeMat-Bulk).

Values from the calculation:
ΔH_f (0 K)   0.168 eV/atom
Crystal system   trigonal
Excess energy over the best structure of this formula in the dataset   1.222 eV/f.u.
E   -9.552 eV/atom

Cell: 2.9142 2.9142 9.4084 Å, 81.09 81.09 60.00°
Closest atoms and distances in Å follow each position.
Positions (direct):
Pa: 0.5000 0.5000 0.5000  6 Pa 2.91, 6 Ru 3.06
Mo: 0.0000 0.0000 0.0000  6 Ru 2.67, 6 Mo 2.91
Ru: 0.2588 0.2588 0.2238  3 Mo 2.67, 6 Ru 2.91
Ru: 0.7412 0.7412 0.7762  3 Mo 2.67, 6 Ru 2.91



9.
# PaMoRu

A geometry-optimized PaMoRu structure (PBE, Alexandria via LeMat-Bulk).

Values from the calculation:
ΔH_f (0 K)   -0.185 eV/atom
Crystal system   tetragonal
E   -10.053 eV/atom

Cell: 3.7585 3.7585 8.5914 Å, 102.63 102.63 90.00°
Closest atoms and distances in Å follow each position.
Positions (direct):
Pa: 0.8324 0.8324 0.6648  4 Ru 2.69
Pa: 0.1676 0.1676 0.3352  4 Ru 2.69
Ru: 0.3575 0.3575 0.7150  4 Pa 2.69, 4 Mo 2.99
Ru: 0.6425 0.6425 0.2850  4 Pa 2.69, 4 Mo 2.99
Mo: 0.0000 0.5000 0.0000  4 Mo 2.66
Mo: 0.5000 0.0000 0.0000  4 Mo 2.66



10.
# Pa2Si2MoRu5

A geometry-optimized Pa2Si2MoRu5 structure (PBE, Alexandria via LeMat-Bulk).

Values from the calculation:
Formation energy from raw total energies   -0.426 eV/atom
Crystal system   tetragonal
E   -9.131 eV/atom

Cell: 3.5227 9.7074 9.7074 Å, 90.00 90.00 90.00°
Closest atoms and distances in Å follow each position.
Positions (direct):
Ru: 0.5000 0.2892 0.5732  2 Si 2.45
Ru: 0.5000 0.2108 0.0732  2 Si 2.45
Ru: 0.5000 0.5000 0.0000  4 Si 2.42
Ru: 0.5000 0.0000 0.5000  4 Si 2.42
Ru: 0.5000 0.4268 0.2892  2 Si 2.45
Ru: 0.5000 0.7892 0.9268  2 Si 2.45
Ru: 0.5000 0.0732 0.7892  2 Si 2.45
Ru: 0.5000 0.9268 0.2108  2 Si 2.45
Ru: 0.5000 0.5732 0.7108  2 Si 2.45
Ru: 0.5000 0.7108 0.4268  2 Si 2.45
Si: 0.0000 0.3794 0.1206  6 Ru 2.42-2.45
Si: 0.0000 0.8794 0.3794  6 Ru 2.42-2.45
Si: 0.0000 0.6206 0.8794  6 Ru 2.42-2.45
Si: 0.0000 0.1206 0.6206  6 Ru 2.42-2.45
Pa: 0.0000 0.6776 0.1776  3 Si 2.77-2.95, 6 Ru 3.01
Pa: 0.0000 0.1776 0.3224  3 Si 2.77-2.95, 6 Ru 3.01
Pa: 0.0000 0.3224 0.8224  3 Si 2.77-2.95, 6 Ru 3.01
Pa: 0.0000 0.8224 0.6776  3 Si 2.77-2.95, 6 Ru 3.01
Mo: 0.0000 0.0000 0.0000  8 Ru 2.79
Mo: 0.0000 0.5000 0.5000  8 Ru 2.79



11.
# PaTaMoRu

A geometry-optimized PaTaMoRu structure (PBE, Alexandria via LeMat-Bulk).

Values from the calculation:
ΔH_f (0 K)   -0.159 eV/atom
Crystal system   cubic
E   -10.523 eV/atom

Cell: 4.6992 4.6992 4.6992 Å, 60.00 60.00 60.00°
Closest atoms and distances in Å follow each position.
Positions (direct):
Ta: 0.0000 0.0000 0.0000  4 Mo 2.88, 4 Ru 2.88
Ru: 0.7500 0.7500 0.7500  4 Pa 2.88, 4 Ta 2.88
Mo: 0.2500 0.2500 0.2500  4 Ta 2.88, 4 Pa 2.88
Pa: 0.5000 0.5000 0.5000  4 Ru 2.88, 4 Mo 2.88



12.
# PaTiMoRu

A geometry-optimized PaTiMoRu structure (PBE, Alexandria via LeMat-Bulk).

Values from the calculation:
ΔH_f (0 K)   -0.278 eV/atom
Crystal system   cubic
E   -9.652 eV/atom

Cell: 4.6507 4.6507 4.6507 Å, 60.00 60.00 60.00°
Closest atoms and distances in Å follow each position.
Positions (direct):
Mo: 0.5000 0.5000 0.5000  4 Pa 2.85, 4 Ti 2.85
Ru: 0.0000 0.0000 0.0000  4 Pa 2.85, 4 Ti 2.85
Pa: 0.7500 0.7500 0.7500  4 Mo 2.85, 4 Ru 2.85
Ti: 0.2500 0.2500 0.2500  4 Mo 2.85, 4 Ru 2.85



The highest E belongs to which entry? PaSi2MoRh



Copy entry 2 word for word.
# PaMoRh

A geometry-optimized PaMoRh structure (PBE, Alexandria via LeMat-Bulk).

Values from the calculation:
ΔH_f (0 K)   -0.050 eV/atom
Crystal system   trigonal
Excess energy over the best structure of this formula in the dataset   0.000 eV/f.u.
E   -9.276 eV/atom

Cell: 2.9784 4.5747 4.5747 Å, 120.00 90.00 90.00°
Closest atoms and distances in Å follow each position.
Positions (direct):
Pa: 0.6426 0.3333 0.6667  3 Mo 2.72, 3 Rh 2.78, 2 Pa 2.98
Rh: 0.9332 0.0000 0.0000  3 Pa 2.78, 2 Rh 2.98, 6 Mo 3.02-3.05
Mo: 0.4241 0.6667 0.3333  3 Pa 2.72, 2 Mo 2.98, 6 Rh 3.02-3.05